No. 1
First-principles (PBE) data for a relaxed structure of Zn4CoCu5, as listed in the Alexandria database.

a = 6.375 Å, b = 6.375 Å, c = 8.336 Å
α = 107.83°, β = 107.83°, γ = 23.41°
Fractional positions:
Zn 0.093 0.093 0.308
Zn 0.391 0.391 0.203
Zn 0.609 0.609 0.797
Zn 0.907 0.907 0.692
Co 0.500 0.500 0.500
Cu 0.186 0.186 0.079
Cu 0.212 0.212 0.618
Cu 0.500 0.500 0.000
Cu 0.788 0.788 0.382
Cu 0.814 0.814 0.921

Results
- Symmetry: C2/m
- Energy of formation from the pure elements: -0.0090 eV per atom
- Magnetic moment: 0.106 μB per atom

=====

No. 2
First-principles (PBE) data for a relaxed structure of Zn2CoCu, as listed in the Alexandria database.

a = 2.580 Å, b = 3.809 Å, c = 5.168 Å
α = 90.00°, β = 90.00°, γ = 90.00°
Fractional positions:
Zn 0.000 0.000 0.000
Zn 0.500 0.500 0.284
Co 0.000 0.000 0.508
Cu 0.500 0.500 0.763

Results
- Symmetry: Pmm2
- Energy of formation from the pure elements: 0.0243 eV per atom
- Magnetic moment: 0.283 μB per atom

=====

No. 3
First-principles (PBE) data for a relaxed structure of Zn3CoCu, as listed in the Alexandria database.

a = 6.491 Å, b = 6.491 Å, c = 7.360 Å
α = 114.23°, β = 114.23°, γ = 78.01°
Fractional positions:
Zn 0.033 0.777 0.853
Zn 0.072 0.331 0.559
Zn 0.184 0.426 0.964
Zn 0.223 0.967 0.647
Zn 0.331 0.072 0.059
Zn 0.426 0.184 0.464
Zn 0.574 0.816 0.536
Zn 0.669 0.928 0.941
Zn 0.777 0.033 0.353
Zn 0.816 0.574 0.036
Zn 0.928 0.669 0.441
Zn 0.967 0.223 0.147
Co 0.124 0.876 0.250
Co 0.373 0.627 0.750
Co 0.627 0.373 0.250
Co 0.876 0.124 0.750
Cu 0.285 0.528 0.356
Cu 0.472 0.715 0.144
Cu 0.528 0.285 0.856
Cu 0.715 0.472 0.644

Results
- Symmetry: C2/c
- Energy of formation from the pure elements: 0.0184 eV per atom
- Magnetic moment: 0.006 μB per atom
- Distance to the lowest polymorph of the same formula: 37 meV/atom

=====

No. 4
First-principles (PBE) data for a relaxed structure of Zn2CoCu, as listed in the Alexandria database.

a = 2.633 Å, b = 2.633 Å, c = 25.370 Å
α = 90.00°, β = 90.00°, γ = 120.00°
Fractional positions:
Zn 0.000 0.000 0.249
Zn 0.000 0.000 0.751
Zn 0.333 0.667 0.418
Zn 0.333 0.667 0.915
Zn 0.667 0.333 0.085
Zn 0.667 0.333 0.582
Co 0.000 0.000 0.500
Co 0.333 0.667 0.167
Co 0.667 0.333 0.833
Cu 0.000 0.000 0.000
Cu 0.333 0.667 0.667
Cu 0.667 0.333 0.333

Results
- Symmetry: R-3m
- Energy of formation from the pure elements: -0.0237 eV per atom
- Magnetic moment: 0.323 μB per atom